No. 1
Here is crystalline BaY2Bi2 at its relaxed geometry from Alexandria. Energies are from PBE.

a = 5.926 Å, b = 5.926 Å, c = 7.049 Å
α = 65.15°, β = 65.15°, γ = 90.00°
Positions (direct):
Y 0.667 0.667 0.666
Y 0.333 0.333 0.334
Bi 0.250 0.750 0.500
Bi 0.750 0.250 0.500
Ba 0.000 0.000 0.000

Values from the calculation:
The value obtained for the formation enthalpy at 0 K is -51.61 kJ per mole of atoms. The calculation puts the offset from the most stable computed form at 0.148 eV/atom. The value obtained for the volume is 199 Å³/cell. Its magnetization is 0.0 μB per formula unit. Its density of states at the Fermi level is 0.24 states/eV per cell. The value obtained for the total energy is -5.057 eV/atom. As for the space group: I4/mmm, No. 139. The calculation puts the theoretical density at 6.12 g/cm3.

=====

No. 2
Here is crystalline BaY2Bi2 at its relaxed geometry from Alexandria. Energies are from PBE.

a = 9.032 Å, b = 9.032 Å, c = 4.144 Å
α = 90.00°, β = 90.00°, γ = 90.00°
Each line ends with the local moment (μB).
Positions (direct):
Y 0.645 0.855 0.500  0.15
Y 0.855 0.355 0.500  0.15
Y 0.355 0.145 0.500  0.15
Y 0.145 0.645 0.500  0.15
Bi 0.354 0.854 0.000  -0.02
Bi 0.146 0.354 0.000  -0.02
Bi 0.646 0.146 0.000  -0.02
Bi 0.854 0.646 0.000  -0.02
Ba 0.000 0.000 0.000  0.07
Ba 0.500 0.500 0.000  0.07

Values from the calculation:
The value obtained for the formation enthalpy at 0 K is -60.96 kJ per mole of atoms. The calculation puts the offset from the most stable computed form at 0.051 eV/atom. The value obtained for the volume is 338 Å³/cell. Its magnetization is 0.8 μB per formula unit. Its density of states at the Fermi level is 10.00 states/eV per cell. The value obtained for the total energy is -5.154 eV/atom. As for the space group: P4/mbm, No. 127. The calculation puts the theoretical density at 7.20 g/cm3.

=====

No. 3
Here is crystalline Ba5YBi4 at its relaxed geometry from Alexandria. Energies are from PBE.

a = 5.036 Å, b = 9.233 Å, c = 11.630 Å
α = 113.36°, β = 102.50°, γ = 90.00°
Each line ends with the local moment (μB).
Positions (direct):
Bi 0.000 0.774 0.000  0.00
Bi 0.689 0.189 0.378  0.00
Bi 0.000 0.226 0.000  0.00
Bi 0.311 0.811 0.622  0.00
Ba 0.165 0.417 0.330  0.03
Ba 0.835 0.583 0.670  0.03
Ba 0.835 0.086 0.669  0.03
Ba 0.165 0.914 0.331  0.03
Ba 0.500 0.500 0.000  0.07
Y 0.500 0.000 0.000  0.03

Values from the calculation:
The value obtained for the formation enthalpy at 0 K is -71.23 kJ per mole of atoms. The value obtained for the volume is 482 Å³/cell. Its magnetization is 1.0 μB per formula unit. Its density of states at the Fermi level is 3.68 states/eV per cell. The value obtained for the total energy is -3.898 eV/atom. As for the space group: C2/m, No. 12. The calculation puts the theoretical density at 5.55 g/cm3.

=====

Repeat the third record exactly.
Here is crystalline Ba5YBi4 at its relaxed geometry from Alexandria. Energies are from PBE.

a = 5.036 Å, b = 9.233 Å, c = 11.630 Å
α = 113.36°, β = 102.50°, γ = 90.00°
Each line ends with the local moment (μB).
Positions (direct):
Bi 0.000 0.774 0.000  0.00
Bi 0.689 0.189 0.378  0.00
Bi 0.000 0.226 0.000  0.00
Bi 0.311 0.811 0.622  0.00
Ba 0.165 0.417 0.330  0.03
Ba 0.835 0.583 0.670  0.03
Ba 0.835 0.086 0.669  0.03
Ba 0.165 0.914 0.331  0.03
Ba 0.500 0.500 0.000  0.07
Y 0.500 0.000 0.000  0.03

Values from the calculation:
The value obtained for the formation enthalpy at 0 K is -71.23 kJ per mole of atoms. The value obtained for the volume is 482 Å³/cell. Its magnetization is 1.0 μB per formula unit. Its density of states at the Fermi level is 3.68 states/eV per cell. The value obtained for the total energy is -3.898 eV/atom. As for the space group: C2/m, No. 12. The calculation puts the theoretical density at 5.55 g/cm3.

=====

Question: Which formula does entry 2 have?
Answer: BaY2Bi2

=====

Question: theoretical density of number 2 (BaY2Bi2)?
Answer: 7.20 g/cm3

=====

Question: What is the magnetization in the second record?
Answer: 0.8 μB per formula unit